MnTlBiF6 (PBE+U, optimized geometry); SG = No. 163; uncorrected energy = -5.15 eV/atom
1.0
6.0776 0.0000 0.0000
-3.0388 5.2634 0.0000
0.0000 0.0000 11.2955
Mn Tl Bi F
2 2 2 12
direct
0.3333 0.6667 0.2500
0.6667 0.3333 0.7500
0.0000 0.0000 0.0000
0.0000 0.0000 0.5000
0.6667 0.3333 0.2500
0.3333 0.6667 0.7500
0.6131 0.6292 0.1476
0.0161 0.3869 0.1476
0.3869 0.0161 0.6476
0.9839 0.6131 0.8524
0.3708 0.3869 0.3524
0.0161 0.6292 0.3524
0.6292 0.0161 0.8524
0.6131 0.9839 0.3524
0.9839 0.3708 0.6476
0.3708 0.9839 0.1476
0.6292 0.6131 0.6476
0.3869 0.3708 0.8524